Here is crystalline PuZn2Ag3O6 at its relaxed geometry from the Alexandria database. Energies are from PBE-GGA.

The mass density is 8.42 g cm⁻³. Its uncorrected formation energy is -1182 meV per atom.

It has space group C2/m (No. 12), with a = 5.550 Å, b = 9.522 Å, c = 6.470 Å, α = 90.00°, β = 113.54° and γ = 90.00°. The asymmetric unit holds Pu at (0.000, 0.000, 0.000), Zn at (0.000, 0.334, 0.000), Ag at (0.000, 0.170, 0.500), Ag at (0.000, 0.500, 0.500), O at (0.238, 0.332, 0.811) and O at (0.239, 0.000, 0.805).